w.
A plane-wave DFT calculation with PBE-GGA was carried out for a relaxed DyHo4Tl2 crystal.

Summary:
**Crystal system**: orthorhombic

Cell lengths 6.862, 6.862, 10.595 Å; angles 90.00, 90.00, 120.17 degrees
Fractional coordinates of all 14 atoms:
Dy  0.000  0.000  0.000
Dy  0.500  0.500  0.500
Ho  0.047  0.953  0.670
Ho  0.058  0.442  0.750
Ho  0.442  0.058  0.250
Ho  0.453  0.547  0.170
Ho  0.547  0.453  0.830
Ho  0.558  0.942  0.750
Ho  0.942  0.558  0.250
Ho  0.953  0.047  0.330
Tl  0.240  0.760  0.483
Tl  0.260  0.740  0.983
Tl  0.740  0.260  0.017
Tl  0.760  0.240  0.517

x.
A plane-wave DFT calculation with PBE-GGA was carried out for a relaxed DyHo4Tl2 crystal.

Summary:
**Crystal system**: trigonal

Cell lengths 9.986, 9.986, 9.986 Å; angles 30.55, 30.55, 30.55 degrees
Fractional coordinates of all 7 atoms:
Dy  0.000  0.000  0.000
Ho  0.215  0.215  0.215
Ho  0.379  0.379  0.379
Ho  0.621  0.621  0.621
Ho  0.785  0.785  0.785
Tl  0.105  0.105  0.105
Tl  0.895  0.895  0.895

Stability check: which of them is most stable? w.

w.
A plane-wave DFT calculation with PBE-GGA was carried out for a relaxed Dy4Ho2Tl crystal.

Summary:
**Crystal system**: monoclinic

Cell lengths 3.524, 21.110, 11.498 Å; angles 90.00, 90.11, 90.00 degrees
Fractional coordinates of all 28 atoms:
Dy  0.244  0.244  0.171
Dy  0.244  0.256  0.671
Dy  0.246  0.542  0.616
Dy  0.246  0.958  0.116
Dy  0.247  0.038  0.384
Dy  0.247  0.462  0.884
Dy  0.252  0.688  0.074
Dy  0.252  0.812  0.574
Dy  0.748  0.188  0.426
Dy  0.748  0.312  0.926
Dy  0.753  0.538  0.116
Dy  0.753  0.962  0.616
Dy  0.754  0.042  0.884
Dy  0.754  0.458  0.384
Dy  0.756  0.744  0.329
Dy  0.756  0.756  0.829
Ho  0.253  0.101  0.649
Ho  0.253  0.399  0.149
Ho  0.256  0.604  0.342
Ho  0.256  0.896  0.842
Ho  0.744  0.104  0.158
Ho  0.744  0.396  0.658
Ho  0.747  0.601  0.851
Ho  0.747  0.899  0.351
Tl  0.253  0.174  0.917
Tl  0.253  0.326  0.417
Tl  0.747  0.674  0.583
Tl  0.747  0.826  0.083

x.
A plane-wave DFT calculation with PBE-GGA was carried out for a relaxed Dy4Ho2Tl crystal.

Summary:
**Crystal system**: monoclinic

Cell lengths 5.627, 6.746, 11.615 Å; angles 90.00, 102.86, 90.00 degrees
Fractional coordinates of all 14 atoms:
Dy  0.112  0.250  0.143
Dy  0.225  0.750  0.414
Dy  0.336  0.510  0.707
Dy  0.336  0.990  0.707
Dy  0.664  0.010  0.293
Dy  0.664  0.490  0.293
Dy  0.775  0.250  0.586
Dy  0.888  0.750  0.857
Ho  0.211  0.250  0.437
Ho  0.455  0.750  0.021
Ho  0.545  0.250  0.979
Ho  0.789  0.750  0.563
Tl  0.015  0.750  0.142
Tl  0.985  0.250  0.858

Stability check: which of them is most stable? w.